Record 1
An optimized crystal structure of BaReIr. Source: the Alexandria database, functional GGA-PBE.

a b c (Å): 5.8583 5.8583 5.2697
angles (deg): 116.51 116.51 63.39
Last column: nearest neighbours and their distance in Å.
Fractional positions:
Ba  0.0000  0.0000  0.0000  6 Ir 3.23-3.51, 4 Re 3.34-3.58, 2 Ba 3.38
Ba  0.2497  0.2497  0.7479  6 Ir 3.22-3.56, 2 Ba 3.38, 5 Re 3.43-3.60
Re  0.5864  0.5864  0.7228  2 Ir 2.51, 1 Re 2.52
Re  0.6628  0.6628  0.3374  2 Ir 2.51, 1 Re 2.52
Ir  0.1189  0.6228  0.3692  2 Re 2.51
Ir  0.6228  0.1189  0.3692  2 Re 2.51

Output
* formation energy from the elements: 0.324 eV per atom
* N(E_F): 3.59 states/eV/cell
* space-group type: Cm
* energy above the lowest structure with this stoichiometry: 154 meV per atom

=====

Record 2
An optimized crystal structure of BaReIr2. Source: the Alexandria database, functional GGA-PBE.

a b c (Å): 2.8996 3.5846 7.7929
angles (deg): 90.00 90.00 90.00
Last column: nearest neighbours and their distance in Å.
Fractional positions:
Ba  0.0000  0.0000  0.0000  2 Ba 2.90
Re  0.0000  0.0000  0.5000  8 Ir 2.68, 2 Re 2.90
Ir  0.5000  0.5000  0.3246  4 Re 2.68, 3 Ir 2.73-2.90
Ir  0.5000  0.5000  0.6754  4 Re 2.68, 3 Ir 2.73-2.90

Output
* formation energy from the elements: 0.304 eV per atom
* N(E_F): 3.61 states/eV/cell
* space-group type: Pmmm
* energy above the lowest structure with this stoichiometry: 218 meV per atom

=====

Record 3
An optimized crystal structure of BaRe2Ir. Source: the Alexandria database, functional GGA-PBE.

a b c (Å): 2.8384 2.8384 9.5245
angles (deg): 90.00 90.00 90.00
Last column: nearest neighbours and their distance in Å.
Fractional positions:
Ba  0.0000  0.0000  0.0000  4 Ba 2.84
Re  0.5000  0.5000  0.3021  4 Ir 2.75, 4 Re 2.84
Re  0.5000  0.5000  0.6978  4 Ir 2.75, 4 Re 2.84
Ir  0.0000  0.0000  0.5000  8 Re 2.75, 4 Ir 2.84

Output
* formation energy from the elements: 0.896 eV per atom
* N(E_F): 4.41 states/eV/cell
* space-group type: P4/mmm
* energy above the lowest structure with this stoichiometry: 251 meV per atom

=====

Record 4
An optimized crystal structure of BaReIr2. Source: the Alexandria database, functional GGA-PBE.

a b c (Å): 2.9155 5.0048 5.2673
angles (deg): 90.00 90.00 90.00
Last column: nearest neighbours and their distance in Å.
Fractional positions:
Ba  0.0000  0.0000  0.0000  4 Ir 2.90, 2 Ba 2.92, 4 Re 3.01
Re  0.5000  0.0000  0.5000  4 Ir 2.90, 2 Re 2.92, 4 Ba 3.01
Ir  0.0000  0.5000  0.5000  4 Re 2.90, 6 Ir 2.92-3.01
Ir  0.5000  0.5000  0.0000  4 Ba 2.90, 6 Ir 2.92-3.01

Output
* formation energy from the elements: 1.307 eV per atom
* N(E_F): 6.49 states/eV/cell
* space-group type: Pmmm
* energy above the lowest structure with this stoichiometry: 1220 meV per atom

=====

Record 5
An optimized crystal structure of BaReIr. Source: the Alexandria database, functional GGA-PBE.

a b c (Å): 5.2601 4.5055 6.2229
angles (deg): 90.00 102.53 90.00
Last column: nearest neighbours and their distance in Å.
Fractional positions:
Ba  0.2440  0.2500  0.4421  2 Ir 3.07-3.32
Ba  0.7560  0.7500  0.5579  2 Ir 3.07-3.32
Re  0.3643  0.7500  0.9639  4 Ir 2.63-2.74, 2 Re 2.65
Re  0.6357  0.2500  0.0361  4 Ir 2.63-2.74, 2 Re 2.65
Ir  0.1019  0.2500  0.9371  4 Re 2.63-2.74, 2 Ir 2.68
Ir  0.8981  0.7500  0.0629  4 Re 2.63-2.74, 2 Ir 2.68

Output
* formation energy from the elements: 0.235 eV per atom
* N(E_F): 6.06 states/eV/cell
* space-group type: P2_1/m
* energy above the lowest structure with this stoichiometry: 64 meV per atom

=====

Record 6
An optimized crystal structure of BaRe2Ir2. Source: the Alexandria database, functional GGA-PBE.

a b c (Å): 8.0697 8.0697 2.8161
angles (deg): 90.00 90.00 90.00
Last column: nearest neighbours and their distance in Å.
Fractional positions:
Ba  0.0000  0.0000  0.0000  2 Ba 2.82
Ba  0.5000  0.5000  0.0000  2 Ba 2.82
Re  0.1152  0.3848  0.0000  3 Re 2.63-2.82, 6 Ir 2.72-2.85
Re  0.3848  0.8848  0.0000  3 Re 2.63-2.82, 6 Ir 2.72-2.85
Re  0.6152  0.1152  0.0000  3 Re 2.63-2.82, 6 Ir 2.72-2.85
Re  0.8848  0.6152  0.0000  3 Re 2.63-2.82, 6 Ir 2.72-2.85
Ir  0.1676  0.6676  0.5000  6 Re 2.72-2.85, 2 Ir 2.82
Ir  0.3324  0.1676  0.5000  6 Re 2.72-2.85, 2 Ir 2.82
Ir  0.6676  0.8324  0.5000  6 Re 2.72-2.85, 2 Ir 2.82
Ir  0.8324  0.3324  0.5000  6 Re 2.72-2.85, 2 Ir 2.82

Output
* formation energy from the elements: 0.326 eV per atom
* N(E_F): 8.93 states/eV/cell
* space-group type: P4/mbm
* energy above the lowest structure with this stoichiometry: 0 meV per atom

=====

Record 7
An optimized crystal structure of BaRe2Ir. Source: the Alexandria database, functional GGA-PBE.

a b c (Å): 10.6386 10.6386 10.6386
angles (deg): 15.61 15.61 15.61
Last column: nearest neighbours and their distance in Å.
Fractional positions:
Ba  0.0000  0.0000  0.0000  6 Ba 2.89
Re  0.2348  0.2348  0.2348  3 Ir 2.72, 6 Re 2.89
Re  0.7652  0.7652  0.7652  3 Ir 2.72, 6 Re 2.89
Ir  0.5000  0.5000  0.5000  6 Re 2.72, 6 Ir 2.89

Output
* formation energy from the elements: 0.999 eV per atom
* N(E_F): 2.54 states/eV/cell
* space-group type: R-3m
* energy above the lowest structure with this stoichiometry: 354 meV per atom

=====

Record 8
An optimized crystal structure of BaRe2Ir. Source: the Alexandria database, functional GGA-PBE.

a b c (Å): 5.0860 5.0860 2.9080
angles (deg): 90.00 90.00 90.00
Last column: nearest neighbours and their distance in Å.
Fractional positions:
Ba  0.0000  0.0000  0.0000  2 Ba 2.91, 8 Re 2.93
Re  0.0000  0.5000  0.5000  2 Re 2.91, 4 Ba 2.93, 4 Ir 2.93
Re  0.5000  0.0000  0.5000  2 Re 2.91, 4 Ba 2.93, 4 Ir 2.93
Ir  0.5000  0.5000  0.0000  2 Ir 2.91, 8 Re 2.93

Output
* formation energy from the elements: 1.654 eV per atom
* N(E_F): 5.69 states/eV/cell
* space-group type: P4/mmm
* energy above the lowest structure with this stoichiometry: 1009 meV per atom

=====

Record 9
An optimized crystal structure of BaReIr. Source: the Alexandria database, functional GGA-PBE.

a b c (Å): 6.4829 6.4829 5.2472
angles (deg): 90.00 90.00 139.50
Last column: nearest neighbours and their distance in Å.
Fractional positions:
Ba  0.2153  0.7847  0.7500  3 Ir 3.09-3.39
Ba  0.7847  0.2153  0.2500  3 Ir 3.09-3.39
Re  0.5000  0.5000  0.0000  2 Re 2.62, 4 Ir 2.64
Re  0.5000  0.5000  0.5000  2 Re 2.62, 4 Ir 2.64
Ir  0.0390  0.9610  0.2500  4 Re 2.64, 2 Ir 2.79
Ir  0.9610  0.0390  0.7500  4 Re 2.64, 2 Ir 2.79

Output
* formation energy from the elements: 0.171 eV per atom
* N(E_F): 5.65 states/eV/cell
* space-group type: Cmcm
* energy above the lowest structure with this stoichiometry: 0 meV per atom

=====

Record 10
An optimized crystal structure of BaRe2Ir. Source: the Alexandria database, functional GGA-PBE.

a b c (Å): 4.7339 4.7339 6.8046
angles (deg): 101.51 101.51 38.65
Last column: nearest neighbours and their distance in Å.
Fractional positions:
Ba  0.0000  0.0000  0.0000  2 Ba 3.13, 3 Ir 3.36
Re  0.5055  0.5055  0.4919  2 Re 2.45, 2 Ir 2.60
Re  0.7921  0.7921  0.3867  2 Re 2.45, 2 Ir 2.61
Ir  0.2264  0.2264  0.6637  4 Re 2.60-2.61

Output
* formation energy from the elements: 0.645 eV per atom
* N(E_F): 4.65 states/eV/cell
* space-group type: Cm
* energy above the lowest structure with this stoichiometry: 0 meV per atom

=====

Record 11
An optimized crystal structure of BaReIr2. Source: the Alexandria database, functional GGA-PBE.

a b c (Å): 5.7383 5.7383 5.7383
angles (deg): 143.79 119.39 72.69
Last column: nearest neighbours and their distance in Å.
Fractional positions:
Ba  0.0000  0.0000  0.0000  8 Ir 3.34-3.45, 4 Re 3.40, 2 Ba 3.57
Re  0.5000  0.5000  0.0000  4 Ir 2.44
Ir  0.3198  0.8198  0.5000  2 Re 2.44
Ir  0.6802  0.1802  0.5000  2 Re 2.44

Output
* formation energy from the elements: 0.774 eV per atom
* N(E_F): 3.37 states/eV/cell
* space-group type: Immm
* energy above the lowest structure with this stoichiometry: 688 meV per atom

=====

Record 12
An optimized crystal structure of BaRe2Ir. Source: the Alexandria database, functional GGA-PBE.

a b c (Å): 5.1049 5.1049 6.2472
angles (deg): 102.38 102.38 35.78
Last column: nearest neighbours and their distance in Å.
Fractional positions:
Ba  0.0000  0.0000  0.0000  2 Ba 3.14, 2 Re 3.49, 4 Ir 3.50
Re  0.2198  0.2198  0.6280  2 Re 2.41, 2 Ir 2.62
Re  0.7802  0.7802  0.3720  2 Re 2.41, 2 Ir 2.62
Ir  0.5000  0.5000  0.5000  4 Re 2.62

Output
* formation energy from the elements: 0.718 eV per atom
* N(E_F): 4.04 states/eV/cell
* space-group type: C2/m
* energy above the lowest structure with this stoichiometry: 73 meV per atom

=====

Record 13
An optimized crystal structure of BaRe3Ir. Source: the Alexandria database, functional GGA-PBE.

a b c (Å): 4.8541 4.8541 4.8541
angles (deg): 90.00 90.00 90.00
Last column: nearest neighbours and their distance in Å.
Fractional positions:
Ba  0.0000  0.0000  0.0000  6 Re 2.43
Re  0.0000  0.0000  0.5000  2 Ba 2.43
Re  0.0000  0.5000  0.0000  2 Ba 2.43
Re  0.5000  0.0000  0.0000  2 Ba 2.43
Ir  0.5000  0.5000  0.5000  12 Re 3.43

Output
* formation energy from the elements: 4.233 eV per atom
* N(E_F): 8.93 states/eV/cell
* space-group type: Pm-3m
* energy above the lowest structure with this stoichiometry: 2486 meV per atom

=====

Record 14
An optimized crystal structure of BaReIr. Source: the Alexandria database, functional GGA-PBE.

a b c (Å): 4.2123 4.2123 10.7066
angles (deg): 90.00 90.00 120.00
Last column: nearest neighbours and their distance in Å.
Fractional positions:
Ba  0.0000  0.0000  0.0000  6 Re 3.62, 6 Ir 3.62
Ba  0.0000  0.0000  0.5000  6 Re 3.62, 6 Ir 3.62
Re  0.3333  0.6667  0.2500  3 Ir 2.43
Re  0.6667  0.3333  0.7500  3 Ir 2.43
Ir  0.3333  0.6667  0.7500  3 Re 2.43
Ir  0.6667  0.3333  0.2500  3 Re 2.43

Output
* formation energy from the elements: 0.275 eV per atom
* N(E_F): 4.20 states/eV/cell
* space-group type: P6_3/mmc
* energy above the lowest structure with this stoichiometry: 105 meV per atom

=====

Record 15
An optimized crystal structure of BaReIr2. Source: the Alexandria database, functional GGA-PBE.

a b c (Å): 10.1992 10.1992 10.1992
angles (deg): 16.55 16.55 16.55
Last column: nearest neighbours and their distance in Å.
Fractional positions:
Ba  0.0000  0.0000  0.0000  6 Ba 2.94
Re  0.5000  0.5000  0.5000  6 Ir 2.67, 6 Re 2.94
Ir  0.2352  0.2352  0.2352  3 Re 2.67, 6 Ir 2.94
Ir  0.7648  0.7648  0.7648  3 Re 2.67, 6 Ir 2.94

Output
* formation energy from the elements: 0.674 eV per atom
* N(E_F): 2.06 states/eV/cell
* space-group type: R-3m
* energy above the lowest structure with this stoichiometry: 587 meV per atom